i) Below is an optimized crystal structure of MgScCuSe3, with properties calculated at the PBE level.

Properties
Size of the total moment ... 0.01 Bohr magnetons per cell

abc: 7.4356 3.7586 9.0225
angles: 90.00 102.06 90.00
Positions (direct):
Mg: 0.2116 0.2500 0.2792
Mg: 0.7884 0.7500 0.7208
Sc: 0.3184 0.7500 0.8250
Sc: 0.6816 0.2500 0.1750
Cu: 0.0832 0.2500 0.5836
Cu: 0.9168 0.7500 0.4164
Se: 0.0665 0.2500 0.8478
Se: 0.2732 0.7500 0.5185
Se: 0.4097 0.7500 0.1455
Se: 0.5903 0.2500 0.8545
Se: 0.7268 0.2500 0.4815
Se: 0.9335 0.7500 0.1522


ii) Below is an optimized crystal structure of MgScCuSe3, with properties calculated at the PBE level.

Properties
Size of the total moment ... 0.04 Bohr magnetons per cell

abc: 10.2624 3.8040 12.6717
angles: 90.00 90.00 90.00
Positions (direct):
Mg: 0.1916 0.2500 0.0031
Mg: 0.3084 0.7500 0.5031
Mg: 0.6916 0.2500 0.4969
Mg: 0.8084 0.7500 0.9969
Sc: 0.0115 0.7500 0.2634
Sc: 0.4885 0.2500 0.7634
Sc: 0.5115 0.7500 0.2366
Sc: 0.9885 0.2500 0.7366
Cu: 0.2491 0.7500 0.7744
Cu: 0.2509 0.2500 0.2744
Cu: 0.7491 0.7500 0.7256
Cu: 0.7509 0.2500 0.2256
Se: 0.0585 0.7500 0.8893
Se: 0.0768 0.2500 0.3975
Se: 0.2444 0.2500 0.6510
Se: 0.2556 0.7500 0.1510
Se: 0.4232 0.7500 0.8975
Se: 0.4415 0.2500 0.3893
Se: 0.5585 0.7500 0.6107
Se: 0.5768 0.2500 0.1025
Se: 0.7444 0.2500 0.8490
Se: 0.7556 0.7500 0.3490
Se: 0.9232 0.7500 0.6025
Se: 0.9415 0.2500 0.1107


Verdict on stability: ii) comes out at the bottom.


i) Below is an optimized crystal structure of MgScCuSi, with properties calculated at the PBE level.

Properties
Size of the total moment ... 0.00 Bohr magnetons per cell

abc: 4.5084 4.5084 4.5084
angles: 60.00 60.00 60.00
Positions (direct):
Mg: 0.0000 0.0000 0.0000
Sc: 0.7500 0.7500 0.7500
Cu: 0.5000 0.5000 0.5000
Si: 0.2500 0.2500 0.2500


ii) Below is an optimized crystal structure of MgScCuSi, with properties calculated at the PBE level.

Properties
Size of the total moment ... 0.00 Bohr magnetons per cell

abc: 4.5035 4.5035 4.5035
angles: 60.00 60.00 60.00
Positions (direct):
Mg: 0.0000 0.0000 0.0000
Sc: 0.7500 0.7500 0.7500
Cu: 0.2500 0.2500 0.2500
Si: 0.5000 0.5000 0.5000


iii) Below is an optimized crystal structure of MgScCuSi, with properties calculated at the PBE level.

Properties
Size of the total moment ... 0.00 Bohr magnetons per cell

abc: 4.5284 4.5284 4.5284
angles: 60.00 60.00 60.00
Positions (direct):
Mg: 0.0000 0.0000 0.0000
Sc: 0.5000 0.5000 0.5000
Cu: 0.2500 0.2500 0.2500
Si: 0.7500 0.7500 0.7500


Verdict on stability: i) comes out at the bottom.


i) Below is an optimized crystal structure of MgTaCuSi, with properties calculated at the PBE level.

Properties
Size of the total moment ... 0.10 Bohr magnetons per cell

abc: 4.4262 4.4262 4.4262
angles: 60.00 60.00 60.00
Positions (direct):
Mg: 0.0000 0.0000 0.0000
Ta: 0.2500 0.2500 0.2500
Cu: 0.7500 0.7500 0.7500
Si: 0.5000 0.5000 0.5000


ii) Below is an optimized crystal structure of MgTaCuSi, with properties calculated at the PBE level.

Properties
Size of the total moment ... 1.63 Bohr magnetons per cell

abc: 4.4623 4.4623 4.4623
angles: 60.00 60.00 60.00
Positions (direct):
Mg: 0.0000 0.0000 0.0000
Ta: 0.7500 0.7500 0.7500
Cu: 0.5000 0.5000 0.5000
Si: 0.2500 0.2500 0.2500


Verdict on stability: ii) comes out at the bottom.


i) Below is an optimized crystal structure of YMgCuSi, with properties calculated at the PBE level.

Properties
Size of the total moment ... 0.00 Bohr magnetons per cell

abc: 4.6853 4.6853 4.6853
angles: 60.00 60.00 60.00
Positions (direct):
Y: 0.0000 0.0000 0.0000
Mg: 0.7500 0.7500 0.7500
Cu: 0.5000 0.5000 0.5000
Si: 0.2500 0.2500 0.2500


ii) Below is an optimized crystal structure of YMgCuSi, with properties calculated at the PBE level.

Properties
Size of the total moment ... 0.00 Bohr magnetons per cell

abc: 4.6850 4.6850 4.6850
angles: 60.00 60.00 60.00
Positions (direct):
Y: 0.0000 0.0000 0.0000
Mg: 0.2500 0.2500 0.2500
Cu: 0.7500 0.7500 0.7500
Si: 0.5000 0.5000 0.5000


Verdict on stability: ii) comes out at the bottom.


i) Below is an optimized crystal structure of MgTaCuSn, with properties calculated at the PBE level.

Properties
Size of the total moment ... 1.83 Bohr magnetons per cell

abc: 4.6870 4.6870 4.6870
angles: 60.00 60.00 60.00
Positions (direct):
Mg: 0.0000 0.0000 0.0000
Ta: 0.7500 0.7500 0.7500
Cu: 0.5000 0.5000 0.5000
Sn: 0.2500 0.2500 0.2500


ii) Below is an optimized crystal structure of MgTaCuSn, with properties calculated at the PBE level.

Properties
Size of the total moment ... 0.29 Bohr magnetons per cell

abc: 4.6943 4.6943 4.6943
angles: 60.00 60.00 60.00
Positions (direct):
Mg: 0.0000 0.0000 0.0000
Ta: 0.2500 0.2500 0.2500
Cu: 0.7500 0.7500 0.7500
Sn: 0.5000 0.5000 0.5000


Verdict on stability: i) comes out at the bottom.


i) Below is an optimized crystal structure of YMgCuTe3, with properties calculated at the PBE level.

Properties
Size of the total moment ... 0.01 Bohr magnetons per cell

abc: 7.2786 7.2786 11.2548
angles: 90.00 90.00 147.16
Positions (direct):
Y: 0.0000 0.0000 0.0000
Y: 0.0000 0.0000 0.5000
Mg: 0.2271 0.7729 0.7500
Mg: 0.7729 0.2271 0.2500
Cu: 0.4769 0.5231 0.2500
Cu: 0.5231 0.4769 0.7500
Te: 0.1010 0.8990 0.2500
Te: 0.3499 0.6501 0.0758
Te: 0.3499 0.6501 0.4242
Te: 0.6501 0.3499 0.5758
Te: 0.6501 0.3499 0.9242
Te: 0.8990 0.1010 0.7500


ii) Below is an optimized crystal structure of YMgCuTe3, with properties calculated at the PBE level.

Properties
Size of the total moment ... 0.02 Bohr magnetons per cell

abc: 12.3611 4.1648 12.1575
angles: 90.00 90.00 90.00
Positions (direct):
Y: 0.0437 0.2500 0.1935
Y: 0.4563 0.7500 0.6935
Y: 0.5437 0.2500 0.3065
Y: 0.9563 0.7500 0.8065
Mg: 0.2178 0.2500 0.4619
Mg: 0.2822 0.7500 0.9619
Mg: 0.7178 0.2500 0.0381
Mg: 0.7822 0.7500 0.5381
Cu: 0.2397 0.7500 0.2828
Cu: 0.2603 0.2500 0.7828
Cu: 0.7397 0.7500 0.2172
Cu: 0.7603 0.2500 0.7172
Te: 0.0556 0.7500 0.3789
Te: 0.1022 0.2500 0.9331
Te: 0.2015 0.7500 0.6648
Te: 0.2985 0.2500 0.1648
Te: 0.3978 0.7500 0.4331
Te: 0.4444 0.2500 0.8789
Te: 0.5556 0.7500 0.1211
Te: 0.6022 0.2500 0.5669
Te: 0.7015 0.7500 0.8352
Te: 0.7985 0.2500 0.3352
Te: 0.8978 0.7500 0.0669
Te: 0.9444 0.2500 0.6211


Verdict on stability: ii) comes out at the bottom.


i) Below is an optimized crystal structure of MgTlCuW, with properties calculated at the PBE level.

Properties
Size of the total moment ... 2.08 Bohr magnetons per cell

abc: 4.6768 4.6768 4.6768
angles: 60.00 60.00 60.00
Positions (direct):
Mg: 0.0000 0.0000 0.0000
Tl: 0.5000 0.5000 0.5000
Cu: 0.7500 0.7500 0.7500
W: 0.2500 0.2500 0.2500


ii) Below is an optimized crystal structure of MgTlCuW, with properties calculated at the PBE level.

Properties
Size of the total moment ... 2.18 Bohr magnetons per cell

abc: 4.6365 4.6365 4.6365
angles: 60.00 60.00 60.00
Positions (direct):
Mg: 0.0000 0.0000 0.0000
Tl: 0.2500 0.2500 0.2500
Cu: 0.5000 0.5000 0.5000
W: 0.7500 0.7500 0.7500


Verdict on stability: ii) comes out at the bottom.


i) Below is an optimized crystal structure of NaCuNiMo, with properties calculated at the PBE level.

Properties
Size of the total moment ... 0.00 Bohr magnetons per cell

abc: 4.3263 4.3263 4.3263
angles: 60.00 60.00 60.00
Positions (direct):
Na: 0.0000 0.0000 0.0000
Cu: 0.7500 0.7500 0.7500
Ni: 0.2500 0.2500 0.2500
Mo: 0.5000 0.5000 0.5000


ii) Below is an optimized crystal structure of NaCuNiMo, with properties calculated at the PBE level.

Properties
Size of the total moment ... 0.00 Bohr magnetons per cell

abc: 4.2660 4.2660 4.2660
angles: 60.00 60.00 60.00
Positions (direct):
Na: 0.0000 0.0000 0.0000
Cu: 0.2500 0.2500 0.2500
Ni: 0.5000 0.5000 0.5000
Mo: 0.7500 0.7500 0.7500


Verdict on stability: ii) comes out at the bottom.


i) Below is an optimized crystal structure of NaCuMoPd, with properties calculated at the PBE level.

Properties
Size of the total moment ... 0.01 Bohr magnetons per cell

abc: 4.4114 4.4114 4.4114
angles: 60.00 60.00 60.00
Positions (direct):
Na: 0.0000 0.0000 0.0000
Cu: 0.2500 0.2500 0.2500
Mo: 0.7500 0.7500 0.7500
Pd: 0.5000 0.5000 0.5000


ii) Below is an optimized crystal structure of NaCuMoPd, with properties calculated at the PBE level.

Properties
Size of the total moment ... 0.03 Bohr magnetons per cell

abc: 4.4524 4.4524 4.4524
angles: 60.00 60.00 60.00
Positions (direct):
Na: 0.0000 0.0000 0.0000
Cu: 0.7500 0.7500 0.7500
Mo: 0.5000 0.5000 0.5000
Pd: 0.2500 0.2500 0.2500


Verdict on stability: i) comes out at the bottom.


i) Below is an optimized crystal structure of NaCuMoPt, with properties calculated at the PBE level.

Properties
Size of the total moment ... 0.03 Bohr magnetons per cell

abc: 4.3973 4.3973 4.3973
angles: 60.00 60.00 60.00
Positions (direct):
Na: 0.0000 0.0000 0.0000
Cu: 0.2500 0.2500 0.2500
Mo: 0.7500 0.7500 0.7500
Pt: 0.5000 0.5000 0.5000


ii) Below is an optimized crystal structure of NaCuMoPt, with properties calculated at the PBE level.

Properties
Size of the total moment ... 0.00 Bohr magnetons per cell

abc: 4.4458 4.4458 4.4458
angles: 60.00 60.00 60.00
Positions (direct):
Na: 0.0000 0.0000 0.0000
Cu: 0.2500 0.2500 0.2500
Mo: 0.5000 0.5000 0.5000
Pt: 0.7500 0.7500 0.7500


Verdict on stability: ii) comes out at the bottom.


i) Below is an optimized crystal structure of NbCuTeMo, with properties calculated at the PBE level.

Properties
Size of the total moment ... 0.00 Bohr magnetons per cell

abc: 4.5859 4.5859 4.5859
angles: 60.00 60.00 60.00
Positions (direct):
Nb: 0.0000 0.0000 0.0000
Cu: 0.7500 0.7500 0.7500
Te: 0.5000 0.5000 0.5000
Mo: 0.2500 0.2500 0.2500


ii) Below is an optimized crystal structure of NbCuTeMo, with properties calculated at the PBE level.

Properties
Size of the total moment ... 0.00 Bohr magnetons per cell

abc: 4.5583 4.5583 4.5583
angles: 60.00 60.00 60.00
Positions (direct):
Nb: 0.0000 0.0000 0.0000
Cu: 0.7500 0.7500 0.7500
Te: 0.2500 0.2500 0.2500
Mo: 0.5000 0.5000 0.5000


Verdict on stability: i) comes out at the bottom.


i) Below is an optimized crystal structure of CuNiSbMo, with properties calculated at the PBE level.

Properties
Size of the total moment ... 0.87 Bohr magnetons per cell

abc: 4.4143 4.4143 4.4143
angles: 60.00 60.00 60.00
Positions (direct):
Cu: 0.0000 0.0000 0.0000
Ni: 0.2500 0.2500 0.2500
Sb: 0.7500 0.7500 0.7500
Mo: 0.5000 0.5000 0.5000


ii) Below is an optimized crystal structure of CuNiSbMo, with properties calculated at the PBE level.

Properties
Size of the total moment ... 2.13 Bohr magnetons per cell

abc: 4.4094 4.4094 4.4094
angles: 60.00 60.00 60.00
Positions (direct):
Cu: 0.0000 0.0000 0.0000
Ni: 0.5000 0.5000 0.5000
Sb: 0.7500 0.7500 0.7500
Mo: 0.2500 0.2500 0.2500


Verdict on stability: ii) comes out at the bottom.


i) Below is an optimized crystal structure of CuSiNiMo, with properties calculated at the PBE level.

Properties
Size of the total moment ... 0.01 Bohr magnetons per cell

abc: 4.1587 4.1587 4.1587
angles: 60.00 60.00 60.00
Positions (direct):
Cu: 0.0000 0.0000 0.0000
Si: 0.7500 0.7500 0.7500
Ni: 0.2500 0.2500 0.2500
Mo: 0.5000 0.5000 0.5000


ii) Below is an optimized crystal structure of CuSiNiMo, with properties calculated at the PBE level.

Properties
Size of the total moment ... 1.11 Bohr magnetons per cell

abc: 4.1561 4.1561 4.1561
angles: 60.00 60.00 60.00
Positions (direct):
Cu: 0.0000 0.0000 0.0000
Si: 0.2500 0.2500 0.2500
Ni: 0.5000 0.5000 0.5000
Mo: 0.7500 0.7500 0.7500


Verdict on stability: ii) comes out at the bottom.